Entry 1:
This record from Alexandria describes a relaxed Ti5GaTe2 crystal. The functional is GGA-PBE.

Values from the calculation:
- total DFT energy (no corrections) (eV per cell) = -195.665
- formation energy (no corrections) (eV per atom) = -0.02

a = 4.7892 Å, b = 12.7663 Å, c = 11.6541 Å
α = 90.00°, β = 90.00°, γ = 90.00°
Last column: nearest neighbours and their distance in Å.
Space group Cmcm (No. 63)
One atom of each set of equivalent atoms:
Ti 0.0000 0.1065 0.1308 [8 per cell]  1 Ga 2.66, 2 Te 2.77-2.79, 2 Ti 2.78-2.84
Ti 0.0000 0.2984 0.7500 [4 per cell]  2 Ga 2.62, 2 Te 2.92
Ti 0.0000 0.3051 0.0216 [8 per cell]  1 Ga 2.68, 3 Te 2.80-2.90, 3 Ti 2.82-2.84
Ga 0.0000 0.2842 0.2500 [4 per cell]  6 Ti 2.62-2.68
Te 0.0000 0.1108 0.6066 [8 per cell]  6 Ti 2.77-2.92



Entry 2:
This record from Alexandria describes a relaxed Ti6GaTe crystal. The functional is GGA-PBE.

Values from the calculation:
- total DFT energy (no corrections) (eV per cell) = -222.487
- formation energy (no corrections) (eV per atom) = -0.26

a = 6.8153 Å, b = 6.9187 Å, c = 11.7495 Å
α = 90.00°, β = 90.00°, γ = 90.00°
Last column: nearest neighbours and their distance in Å.
Space group Fmmm (No. 69)
One atom of each set of equivalent atoms:
Ti 0.0000 0.0000 0.2427 [8 per cell]  8 Ti 2.78-2.87, 1 Ga 2.85, 1 Te 3.02
Ti 0.2500 0.2500 0.1272 [16 per cell]  6 Ti 2.78-2.99, 2 Te 2.85, 2 Ga 2.85
Ga 0.0000 0.0000 0.0000 [4 per cell]  10 Ti 2.85
Te 0.0000 0.0000 0.5000 [4 per cell]  10 Ti 2.85-3.02



Entry 3:
This record from Alexandria describes a relaxed Ti4GaTe8 crystal. The functional is GGA-PBE.

Values from the calculation:
- total DFT energy (no corrections) (eV per cell) = -272.110
- formation energy (no corrections) (eV per atom) = -0.64

a = 11.3136 Å, b = 11.3136 Å, c = 11.3136 Å
α = 90.00°, β = 90.00°, γ = 90.00°
Last column: nearest neighbours and their distance in Å.
Space group F-43m (No. 216)
One atom of each set of equivalent atoms:
Ti 0.1074 0.1074 0.1074 [16 per cell]  6 Te 2.72-2.93
Ga 0.0000 0.0000 0.5000 [4 per cell]  4 Te 2.68
Te 0.1311 0.1311 0.8689 [16 per cell]  3 Ti 2.72
Te 0.1367 0.1367 0.3633 [16 per cell]  1 Ga 2.68, 3 Ti 2.93



Entry 4:
This record from Alexandria describes a relaxed TiGa2Te4 crystal. The functional is GGA-PBE.

Values from the calculation:
- total DFT energy (no corrections) (eV per cell) = -54.394
- relative energy among the computed polymorphs (eV/atom) = 0.124
- formation energy (no corrections) (eV per atom) = -0.10

a = 5.5430 Å, b = 5.5430 Å, c = 13.8313 Å
α = 90.00°, β = 90.00°, γ = 90.00°
Last column: nearest neighbours and their distance in Å.
Space group I4/mmm (No. 139)
One atom of each set of equivalent atoms:
Ti 0.0000 0.0000 0.0000 [2 per cell]  6 Te 2.71-2.77
Ga 0.0000 0.0000 0.3963 [4 per cell]  1 Te 2.77, 1 Ga 2.87
Te 0.0000 0.0000 0.1961 [4 per cell]  1 Ti 2.71, 1 Ga 2.77
Te 0.0000 0.5000 0.0000 [4 per cell]  2 Ti 2.77



Entry 5:
This record from Alexandria describes a relaxed TiGa2Te crystal. The functional is GGA-PBE.

Values from the calculation:
- total DFT energy (no corrections) (eV per cell) = -67.185
- formation energy (no corrections) (eV per atom) = 0.07

a = 7.8298 Å, b = 7.8298 Å, c = 5.5628 Å
α = 90.00°, β = 90.00°, γ = 90.00°
Last column: nearest neighbours and their distance in Å.
Space group I-42d (No. 122)
One atom of each set of equivalent atoms:
Ti 0.0000 0.0000 0.0000 [4 per cell]  4 Ga 2.75, 2 Te 2.78
Ga 0.2292 0.2500 0.1250 [8 per cell]  2 Ti 2.75, 2 Ga 2.80, 2 Te 2.97
Te 0.0000 0.0000 0.5000 [4 per cell]  2 Ti 2.78, 4 Ga 2.97



Entry 6:
This record from Alexandria describes a relaxed TiGaTe4 crystal. The functional is GGA-PBE.

Values from the calculation:
- total DFT energy (no corrections) (eV per cell) = -50.891
- formation energy (no corrections) (eV per atom) = -0.33

a = 6.8359 Å, b = 6.9928 Å, c = 7.0081 Å
α = 90.00°, β = 92.11°, γ = 90.00°
Last column: nearest neighbours and their distance in Å.
Space group P2_1/c (No. 14)
One atom of each set of equivalent atoms:
Ti 0.0000 0.0000 0.0000 [2 per cell]  6 Te 2.75-2.79
Ga 0.5000 0.0000 0.5000 [2 per cell]  6 Te 2.96-3.01
Te 0.1062 0.1434 0.3564 [4 per cell]  2 Ti 2.76-2.79, 1 Ga 3.01
Te 0.3627 0.6134 0.3860 [4 per cell]  1 Ti 2.75, 1 Te 2.89, 2 Ga 2.96-3.00



Entry 7:
This record from Alexandria describes a relaxed TiGaTe3 crystal. The functional is GGA-PBE.

Values from the calculation:
- total DFT energy (no corrections) (eV per cell) = -21.106
- relative energy among the computed polymorphs (eV/atom) = 0.310
- formation energy (no corrections) (eV per atom) = -0.15

a = 5.3874 Å, b = 5.3874 Å, c = 5.3874 Å
α = 90.00°, β = 90.00°, γ = 90.00°
Last column: nearest neighbours and their distance in Å.
Space group Pm-3m (No. 221)
One atom of each set of equivalent atoms:
Ti 0.0000 0.0000 0.0000 [1 per cell]  6 Te 2.69
Ga 0.5000 0.5000 0.5000 [1 per cell]  12 Te 3.81
Te 0.0000 0.0000 0.5000 [3 per cell]  2 Ti 2.69



Entry 8:
This record from Alexandria describes a relaxed Ti2GaTe6 crystal. The functional is GGA-PBE.

Values from the calculation:
- total DFT energy (no corrections) (eV per cell) = -81.849
- formation energy (no corrections) (eV per atom) = -0.36

a = 6.6534 Å, b = 6.6534 Å, c = 11.9914 Å
α = 90.00°, β = 90.00°, γ = 90.00°
Last column: nearest neighbours and their distance in Å.
Space group P4_2/mnm (No. 136)
One atom of each set of equivalent atoms:
Ti 0.0000 0.0000 0.1565 [4 per cell]  6 Te 2.68-2.83
Ga 0.0000 0.0000 0.5000 [2 per cell]  6 Te 2.80-2.84
Te 0.2007 0.2007 0.3230 [8 per cell]  2 Ti 2.75-2.83, 1 Ga 2.84
Te 0.2028 0.2028 0.0000 [4 per cell]  2 Ti 2.68, 1 Ga 2.80



Summary of DOS at the Fermi energy in states/eV/cell
29.6 55.6 32.5 11.0 13.9 7.4 2.0 11.8
(order as listed above)
Summary of total magnetization in μB per formula unit
0.0 0.0 2.4 0.0 0.4 0.0 0.0 0.0
(order as listed above)